[1]
This record from Alexandria via LeMat-Bulk describes a geometry-optimized AlTcPdO2 structure. The functional is PBE-GGA.

Properties
Fermi-level density of states   0.735 states/eV per atom
Crystal system   tetragonal
ΔE_f (raw)   0.553 eV/atom

Cell lengths 3.8449, 3.8449, 5.3290 Å; angles 90.00, 90.00, 90.00 degrees
Last column: nearest neighbours and their distance in Å.
Fractional positions:
Al 0.0000 0.0000 0.0000  4 Tc 2.72
Tc 0.5000 0.5000 0.0000  2 Pd 2.66, 4 Al 2.72
Pd 0.5000 0.5000 0.5000  4 O 1.92
O 0.0000 0.5000 0.5000  2 Pd 1.92
O 0.5000 0.0000 0.5000  2 Pd 1.92

[2]
This record from Alexandria via LeMat-Bulk describes a geometry-optimized Tl4TeI structure. The functional is PBE-GGA.

Properties
Fermi-level density of states   0.259 states/eV per atom
Crystal system   monoclinic
ΔE_f (raw)   -0.265 eV/atom

Cell lengths 9.4102, 9.4102, 6.3960 Å; angles 94.69, 94.69, 123.66 degrees
Last column: nearest neighbours and their distance in Å.
Fractional positions:
Tl 0.0227 0.4096 0.7493  2 Te 3.38-3.45, 1 I 3.51, 2 Tl 3.57-3.67
Tl 0.1708 0.2046 0.1286  1 Te 3.22, 4 Tl 3.25-3.57, 1 I 3.32
Tl 0.2046 0.1708 0.6286  1 Te 3.22, 4 Tl 3.25-3.57, 1 I 3.32
Tl 0.4096 0.0227 0.2493  2 Te 3.38-3.45, 1 I 3.51, 2 Tl 3.57-3.67
Tl 0.5904 0.9773 0.7507  2 Te 3.38-3.45, 1 I 3.51, 2 Tl 3.57-3.67
Tl 0.7954 0.8292 0.3714  1 Te 3.22, 4 Tl 3.25-3.57, 1 I 3.32
Tl 0.8292 0.7954 0.8714  1 Te 3.22, 4 Tl 3.25-3.57, 1 I 3.32
Tl 0.9773 0.5904 0.2507  2 Te 3.38-3.45, 1 I 3.51, 2 Tl 3.57-3.67
Te 0.1709 0.8291 0.7500  6 Tl 3.22-3.45
Te 0.8291 0.1709 0.2500  6 Tl 3.22-3.45
I 0.3707 0.6293 0.2500  4 Tl 3.32-3.51
I 0.6293 0.3707 0.7500  4 Tl 3.32-3.51

[3]
This record from Alexandria via LeMat-Bulk describes a geometry-optimized CePmPb structure. The functional is PBE-GGA.

Properties
Fermi-level density of states   2.238 states/eV per atom
Crystal system   tetragonal
ΔH_f (0 K)   -0.19 eV per atom

Cell lengths 7.9006, 7.9006, 7.9006 Å; angles 153.99, 153.99, 37.11 degrees
Last column: nearest neighbours and their distance in Å.
Fractional positions:
Ce 0.0000 0.0000 0.0000  4 Pb 3.43, 4 Ce 3.56, 4 Pm 3.79
Pm 0.3111 0.3111 0.0000  4 Pb 3.43, 4 Pm 3.56, 4 Ce 3.79
Pb 0.6554 0.6554 0.0000  4 Ce 3.43, 4 Pm 3.43, 4 Pb 3.56

[4]
This record from Alexandria via LeMat-Bulk describes a geometry-optimized TbMgSnHg structure. The functional is PBE-GGA.

Properties
Fermi-level density of states   0.631 states/eV per atom
Crystal system   cubic
ΔH_f (0 K)   -0.39 eV per atom

Cell lengths 5.1793, 5.1793, 5.1793 Å; angles 60.00, 60.00, 60.00 degrees
Last column: nearest neighbours and their distance in Å.
Fractional positions:
Tb 0.0000 0.0000 0.0000  4 Hg 3.17, 4 Sn 3.17
Mg 0.5000 0.5000 0.5000  4 Hg 3.17, 4 Sn 3.17
Sn 0.7500 0.7500 0.7500  4 Tb 3.17, 4 Mg 3.17
Hg 0.2500 0.2500 0.2500  4 Tb 3.17, 4 Mg 3.17

[5]
This record from Alexandria via LeMat-Bulk describes a geometry-optimized Li2LaW structure. The functional is PBE-GGA.

Properties
Fermi-level density of states   1.262 states/eV per atom
Crystal system   tetragonal
ΔH_f (0 K)   0.64 eV per atom

Cell lengths 2.7895, 2.7895, 10.1738 Å; angles 90.00, 90.00, 90.00 degrees
Last column: nearest neighbours and their distance in Å.
Fractional positions:
Li 0.0000 0.0000 0.2109  4 Li 2.79, 4 W 2.91
Li 0.0000 0.0000 0.7891  4 Li 2.79, 4 W 2.91
La 0.5000 0.5000 0.5000  4 La 2.79
W 0.5000 0.5000 0.0000  4 W 2.79, 8 Li 2.91

[6]
This record from Alexandria via LeMat-Bulk describes a geometry-optimized TaInNi2 structure. The functional is PBE-GGA.

Properties
Fermi-level density of states   0.688 states/eV per atom
Crystal system   tetragonal
ΔH_f (0 K)   0.09 eV per atom

Cell lengths 4.8052, 4.8052, 4.8052 Å; angles 131.76, 131.76, 70.61 degrees
Last column: nearest neighbours and their distance in Å.
Fractional positions:
Ta 0.0000 0.0000 0.0000  4 In 2.78, 8 Ni 2.78
In 0.2500 0.7500 0.5000  8 Ni 2.78, 4 Ta 2.78
Ni 0.5000 0.5000 0.0000  4 Ni 2.78, 4 In 2.78, 4 Ta 2.78
Ni 0.7500 0.2500 0.5000  4 Ni 2.78, 4 Ta 2.78, 4 In 2.78